1.
# TbCdCu

A geometry-optimized TbCdCu structure (GGA-PBE, Alexandria).

extended XYZ file:
```
3
Lattice="0.000 3.281 3.281 3.281 0.000 3.281 3.281 3.281 0.000" Properties=species:S:1:pos:R:3 pbc="T T T"
Tb 0.000 0.000 0.000
Cd 3.281 3.281 3.281
Cu 4.922 4.922 4.922
```

Summary:
Energy of formation, eV per atom: -0.139
D(E_F), states/eV per atom: 1.23
DFT total energy, eV for the cell shown: -10.06

***

2.
# Ce3PrSi2

A geometry-optimized Ce3PrSi2 structure (GGA-PBE, Alexandria).

extended XYZ file:
```
12
Lattice="8.749 -2.262 0.000 8.749 2.262 0.000 -3.348 0.000 7.692" Properties=species:S:1:pos:R:3 pbc="T T T"
Ce 0.328 0.000 1.326
Ce 3.350 0.000 4.872
Ce 2.832 0.000 7.657
Ce 11.317 0.000 0.035
Ce 10.799 0.000 2.819
Ce 13.821 0.000 6.366
Pr -0.186 0.000 4.962
Pr 14.335 0.000 2.730
Si 3.629 0.000 1.721
Si 6.427 0.000 4.891
Si 7.722 0.000 2.800
Si 10.521 0.000 5.971
```

Summary:
D(E_F), states/eV per atom: 2.11
Energy relative to the elements, uncorrected, eV per formula unit: -2.50
DFT total energy, eV for the cell shown: -71.85

***

Among the records above, which one has the highest DFT total energy?
TbCdCu